No. 1
{
  "formula": "Mg3PbI",
  "functional": "PBE-GGA",
  "state": "relaxed",
  "cell": [[5.623, 0.000, 0.000], [0.000, 5.623, 0.000], [0.000, 0.000, 5.623]],
  "species": ["Mg", "Mg", "Mg", "Pb", "I"],
  "frac_coords": [[0.000, 0.000, 0.500], [0.000, 0.500, 0.000], [0.500, 0.000, 0.000], [0.000, 0.000, 0.000], [0.500, 0.500, 0.500]],
  "crystal_system": "cubic",
  "raw_formation_energy_kj_per_mol_atoms": 4.5,
  "energy_ev_per_fu": -9.811,
  "de_polymorph_mev_per_atom": 0
}

=====

No. 2
{
  "formula": "Ti8ZnGa2",
  "functional": "PBE-GGA",
  "state": "relaxed",
  "cell": [[3.610, -6.357, 0.000], [3.610, 6.357, 0.000], [-2.396, 0.000, 4.015]],
  "species": ["Ti", "Ti", "Ti", "Ti", "Ti", "Ti", "Ti", "Ti", "Zn", "Ga", "Ga"],
  "frac_coords": [[0.100, 0.326, 0.670], [0.210, 0.790, 0.000], [0.326, 0.100, 0.670], [0.412, 0.412, 0.221], [0.588, 0.588, 0.779], [0.674, 0.900, 0.330], [0.790, 0.210, 0.000], [0.900, 0.674, 0.330], [0.000, 0.000, 0.000], [0.305, 0.695, 0.500], [0.695, 0.305, 0.500]],
  "crystal_system": "monoclinic",
  "energy_ev_per_fu": -71.489
}

=====

No. 3
{
  "formula": "LiNb2Mo",
  "functional": "PBE-GGA",
  "state": "relaxed",
  "cell": [[6.421, 0.000, 0.000], [0.000, 6.421, 0.000], [0.000, 0.000, 6.421]],
  "species": ["Li", "Li", "Li", "Li", "Nb", "Nb", "Nb", "Nb", "Nb", "Nb", "Nb", "Nb", "Mo", "Mo", "Mo", "Mo"],
  "frac_coords": [[0.000, 0.000, 0.000], [0.000, 0.500, 0.500], [0.500, 0.000, 0.500], [0.500, 0.500, 0.000], [0.250, 0.250, 0.250], [0.250, 0.250, 0.750], [0.250, 0.750, 0.250], [0.250, 0.750, 0.750], [0.750, 0.250, 0.250], [0.750, 0.250, 0.750], [0.750, 0.750, 0.250], [0.750, 0.750, 0.750], [0.000, 0.000, 0.500], [0.000, 0.500, 0.000], [0.500, 0.000, 0.000], [0.500, 0.500, 0.500]],
  "crystal_system": "cubic",
  "energy_ev_per_fu": -32.057,
  "de_polymorph_mev_per_atom": 0
}

=====

Repeat the third record exactly.
{
  "formula": "LiNb2Mo",
  "functional": "PBE-GGA",
  "state": "relaxed",
  "cell": [[6.421, 0.000, 0.000], [0.000, 6.421, 0.000], [0.000, 0.000, 6.421]],
  "species": ["Li", "Li", "Li", "Li", "Nb", "Nb", "Nb", "Nb", "Nb", "Nb", "Nb", "Nb", "Mo", "Mo", "Mo", "Mo"],
  "frac_coords": [[0.000, 0.000, 0.000], [0.000, 0.500, 0.500], [0.500, 0.000, 0.500], [0.500, 0.500, 0.000], [0.250, 0.250, 0.250], [0.250, 0.250, 0.750], [0.250, 0.750, 0.250], [0.250, 0.750, 0.750], [0.750, 0.250, 0.250], [0.750, 0.250, 0.750], [0.750, 0.750, 0.250], [0.750, 0.750, 0.750], [0.000, 0.000, 0.500], [0.000, 0.500, 0.000], [0.500, 0.000, 0.000], [0.500, 0.500, 0.500]],
  "crystal_system": "cubic",
  "energy_ev_per_fu": -32.057,
  "de_polymorph_mev_per_atom": 0
}